AcSm12In6 | the Alexandria database | PBE | relaxed; calculated formation energy = -0.0926 eV/atom; total DFT energy (no corrections) = -4.15 eV/atom; theoretical density = 6.9 g/cm3; total moment = 0.007 μB per cell
1.0
8.933 0.130 0.183
-2.089 8.687 0.183
-2.089 -2.691 8.261
In Sm Ac
6 12 1
Direct
0.751 0.751 0.287
0.249 0.249 0.713
0.287 0.751 0.751
0.751 0.287 0.751
0.713 0.249 0.249
0.249 0.713 0.249
0.557 0.824 0.557
0.886 0.500 0.114
0.176 0.443 0.443
0.886 0.114 0.500
0.500 0.114 0.886
0.557 0.557 0.824
0.443 0.176 0.443
0.114 0.500 0.886
0.824 0.557 0.557
0.114 0.886 0.500
0.500 0.886 0.114
0.443 0.443 0.176
0.000 0.000 0.000